(1)
Computed, not measured: crystalline ThU3Tl2O12 at its relaxed geometry at the PBE-GGA level of DFT.

Calculated total energy (eV per formula unit): -156.46
ΔE_f (raw) (eV per atom): -2.830
Space group: R-3m (166)
Total moment (μB/f.u.): 0.0

a b c (Å): 8.112 8.112 8.112
angles (deg): 60.01 60.01 60.01
Sites, in units of the cell vectors:
O (0.069, 0.662, 0.069)
O (0.948, 0.305, 0.305)
O (0.695, 0.695, 0.052)
O (0.069, 0.069, 0.662)
O (0.931, 0.931, 0.338)
O (0.695, 0.052, 0.695)
O (0.305, 0.305, 0.948)
O (0.305, 0.948, 0.305)
O (0.052, 0.695, 0.695)
O (0.662, 0.069, 0.069)
O (0.931, 0.338, 0.931)
O (0.338, 0.931, 0.931)
U (0.000, 0.500, 0.000)
U (0.000, 0.000, 0.500)
U (0.500, 0.000, 0.000)
Tl (0.684, 0.684, 0.684)
Tl (0.316, 0.316, 0.316)
Th (0.000, 0.000, 0.000)

(2)
Computed, not measured: crystalline CoTePI2 at its relaxed geometry at the PBE-GGA level of DFT.

Calculated total energy (eV per formula unit): -14.91
ΔE_f (raw) (eV per atom): 0.770
Space group: P4/mmm (123)
E above lowest polymorph (meV/atom): 0.0
Total moment (μB/f.u.): 0.0

a b c (Å): 5.161 5.161 4.935
angles (deg): 90.00 90.00 90.00
Sites, in units of the cell vectors:
I (0.500, 0.000, 0.000)
I (0.000, 0.500, 0.000)
Co (0.000, 0.000, 0.000)
Te (0.000, 0.000, 0.500)
P (0.500, 0.500, 0.500)

(3)
Computed, not measured: crystalline Li2RuClF at its relaxed geometry at the PBE-GGA level of DFT.

Calculated total energy (eV per formula unit): -18.40
ΔE_f (raw) (eV per atom): -0.315
Space group: P4/mmm (123)
E above lowest polymorph (meV/atom): 12.3
Total moment (μB/f.u.): 0.3

a b c (Å): 5.082 4.258 5.082
angles (deg): 90.00 90.00 90.00
Each line ends with the local moment (μB).
Sites, in units of the cell vectors:
F (0.500, 0.500, 0.500)  0.01
Ru (0.000, 0.000, 0.000)  0.26
Li (0.000, 0.000, 0.500)  0.00
Li (0.500, 0.000, 0.000)  0.00
Cl (0.000, 0.500, 0.000)  -0.01

(4)
Computed, not measured: crystalline CaCuO2F at its relaxed geometry at the PBE-GGA level of DFT.

Calculated total energy (eV per formula unit): -26.54
ΔE_f (raw) (eV per atom): -1.730
Space group: P4/mmm (123)
Total moment (μB/f.u.): 0.0

a b c (Å): 3.810 3.810 3.959
angles (deg): 90.00 90.00 90.00
Sites, in units of the cell vectors:
O (0.000, 0.500, 0.000)
O (0.500, 0.000, 0.000)
Ca (0.500, 0.500, 0.500)
Cu (0.000, 0.000, 0.000)
F (0.000, 0.000, 0.500)

(5)
Computed, not measured: crystalline Fe3Si2W at its relaxed geometry at the PBE-GGA level of DFT.

Calculated total energy (eV per formula unit): -51.24
ΔE_f (raw) (eV per atom): -0.342
Space group: P4/mmm (123)
Total moment (μB/f.u.): 0.0

a b c (Å): 2.741 2.741 9.078
angles (deg): 90.00 90.00 90.00
Sites, in units of the cell vectors:
Fe (0.000, 0.000, 0.300)
Fe (0.000, 0.000, 0.000)
Fe (0.000, 0.000, 0.700)
W (0.500, 0.500, 0.500)
Si (0.500, 0.500, 0.845)
Si (0.500, 0.500, 0.155)

(6)
Computed, not measured: crystalline LiCaTc2I at its relaxed geometry at the PBE-GGA level of DFT.

Calculated total energy (eV per formula unit): -17.92
ΔE_f (raw) (eV per atom): 1.655
Space group: P4/mmm (123)
E above lowest polymorph (meV/atom): 557.4
Total moment (μB/f.u.): 6.2

a b c (Å): 5.122 6.008 5.122
angles (deg): 90.00 90.00 90.00
Each line ends with the local moment (μB).
Sites, in units of the cell vectors:
Tc (0.500, 0.000, 0.000)  3.00
Tc (0.000, 0.000, 0.500)  2.34
I (0.000, 0.500, 0.000)  0.08
Ca (0.000, 0.000, 0.000)  -0.04
Li (0.500, 0.500, 0.500)  -0.01

(7)
Computed, not measured: crystalline Rb3Np3NbSe8 at its relaxed geometry at the PBE-GGA level of DFT.

Calculated total energy (eV per formula unit): -96.75
ΔE_f (raw) (eV per atom): -1.138
Space group: R-3m (166)
Total moment (μB/f.u.): 13.0

a b c (Å): 8.210 8.210 9.496
angles (deg): 115.63 90.00 120.00
Each line ends with the local moment (μB).
Sites, in units of the cell vectors:
Np (0.500, 0.000, 0.500)  3.82
Np (0.500, 0.500, 0.500)  3.82
Np (0.000, 0.500, 0.500)  3.82
Rb (0.500, 0.500, 0.000)  0.00
Rb (0.000, 0.500, 0.000)  0.00
Rb (0.000, 0.000, 0.000)  0.00
Se (0.746, 0.967, 0.688)  -0.07
Se (0.779, 0.558, 0.312)  -0.07
Se (0.221, 0.442, 0.688)  -0.07
Se (0.267, 0.534, 0.301)  -0.08
Se (0.221, 0.967, 0.688)  -0.07
Se (0.733, 0.466, 0.699)  -0.08
Se (0.779, 0.033, 0.312)  -0.07
Se (0.254, 0.033, 0.312)  -0.07
Nb (0.000, 0.000, 0.500)  1.36

(8)
Computed, not measured: crystalline CuRu2I at its relaxed geometry at the PBE-GGA level of DFT.

Calculated total energy (eV per formula unit): -20.51
ΔE_f (raw) (eV per atom): 0.923
Space group: I-42d (122)
E above lowest polymorph (meV/atom): 187.0
Total moment (μB/f.u.): 0.0

a b c (Å): 3.965 3.965 9.386
angles (deg): 77.81 77.81 90.00
Sites, in units of the cell vectors:
Ru (0.178, 0.625, 0.250)
Ru (0.375, 0.428, 0.750)
Ru (0.572, 0.125, 0.250)
Ru (0.875, 0.822, 0.750)
Cu (0.500, 0.500, 0.000)
Cu (0.250, 0.750, 0.500)
I (0.000, 0.000, 0.000)
I (0.750, 0.250, 0.500)

(9)
Computed, not measured: crystalline LaAgIr2 at its relaxed geometry at the PBE-GGA level of DFT.

Calculated total energy (eV per formula unit): -24.78
Space group: P4mm (99)
E above lowest polymorph (meV/atom): 264.6
Total moment (μB/f.u.): 0.0
Energy of formation (eV/atom): 0.179

a b c (Å): 2.940 2.939 8.756
angles (deg): 90.00 90.00 90.00
Sites, in units of the cell vectors:
Ir (0.000, 0.000, 0.019)
Ir (0.500, 0.500, 0.207)
Ag (0.500, 0.500, 0.787)
La (0.000, 0.000, 0.487)

(10)
Computed, not measured: crystalline HfTi2H6 at its relaxed geometry at the PBE-GGA level of DFT.

Calculated total energy (eV per formula unit): -50.41
Space group: C2/m (12)
Total moment (μB/f.u.): 0.0

a b c (Å): 3.287 4.251 5.618
angles (deg): 112.23 107.42 90.00
Sites, in units of the cell vectors:
H (0.500, 0.266, 0.000)
H (0.829, 0.087, 0.658)
H (0.171, 0.913, 0.342)
H (0.500, 0.734, 0.000)
H (0.171, 0.429, 0.342)
H (0.829, 0.571, 0.658)
Ti (0.330, 0.330, 0.661)
Ti (0.670, 0.670, 0.339)
Hf (0.000, 0.000, 0.000)

(11)
Computed, not measured: crystalline PuPa2Au at its relaxed geometry at the PBE-GGA level of DFT.

Calculated total energy (eV per formula unit): -37.27
Space group: P4/mmm (123)
E above lowest polymorph (meV/atom): 0.0
Total moment (μB/f.u.): 4.1
Energy of formation (eV/atom): -0.168

a b c (Å): 3.227 5.310 5.310
angles (deg): 90.00 90.00 90.00
Each line ends with the local moment (μB).
Sites, in units of the cell vectors:
Pu (0.500, 0.000, 0.000)  4.47
Pa (0.000, 0.000, 0.500)  -0.15
Pa (0.000, 0.500, 0.000)  -0.15
Au (0.500, 0.500, 0.500)  -0.01

(12)
Computed, not measured: crystalline AcCdP at its relaxed geometry at the PBE-GGA level of DFT.

Calculated total energy (eV per formula unit): -12.36
Space group: P3m1 (156)
E above lowest polymorph (meV/atom): 202.5
Total moment (μB/f.u.): 0.0
Energy of formation (eV/atom): -0.641

a b c (Å): 4.378 4.378 5.261
angles (deg): 90.00 90.00 120.00
Sites, in units of the cell vectors:
Cd (0.000, 0.000, 0.074)
P (0.667, 0.333, 0.302)
Ac (0.333, 0.667, 0.624)